(1)
Computed, not measured: a geometry-optimized Zn2NiRu2 structure at the PBE level of DFT.

Cell and atoms, written as CIF:
```
data_Zn2NiRu2
_chemical_formula_sum 'Zn4 Ni2 Ru4'
_cell_length_a 6.249
_cell_length_b 6.249
_cell_length_c 3.840
_cell_angle_alpha 90.00
_cell_angle_beta 90.00
_cell_angle_gamma 90.00
_symmetry_space_group_name_H-M 'P 1'
_symmetry_Int_Tables_number 1
loop_
_symmetry_equiv_pos_as_xyz
'x,y,z'
loop_
_atom_site_label
_atom_site_fract_x
_atom_site_fract_y
_atom_site_fract_z
Zn1 0.170 0.330 0.000
Zn2 0.330 0.830 0.000
Zn3 0.670 0.170 0.000
Zn4 0.830 0.670 0.000
Ni1 0.000 0.000 0.500
Ni2 0.500 0.500 0.500
Ru1 0.135 0.635 0.500
Ru2 0.365 0.135 0.500
Ru3 0.635 0.865 0.500
Ru4 0.865 0.365 0.500
```

Properties
Total magnetization   0.351 μB/atom
Space group   P4/mbm (127)
ΔH_f (0 K)   0.32 eV per atom

(2)
Computed, not measured: a geometry-optimized ZnNiRu2 structure at the PBE level of DFT.

Cell and atoms, written as CIF:
```
data_ZnNiRu2
_chemical_formula_sum 'Zn1 Ni1 Ru2'
_cell_length_a 2.648
_cell_length_b 2.648
_cell_length_c 8.717
_cell_angle_alpha 90.00
_cell_angle_beta 90.00
_cell_angle_gamma 117.15
_symmetry_space_group_name_H-M 'P 1'
_symmetry_Int_Tables_number 1
loop_
_symmetry_equiv_pos_as_xyz
'x,y,z'
loop_
_atom_site_label
_atom_site_fract_x
_atom_site_fract_y
_atom_site_fract_z
Zn1 0.000 0.000 0.000
Ni1 0.500 0.500 0.764
Ru1 0.000 0.000 0.518
Ru2 0.500 0.500 0.261
```

Properties
Total magnetization   0.337 μB/atom
Space group   Cmm2 (35)
ΔH_f (0 K)   0.24 eV per atom

(3)
Computed, not measured: a geometry-optimized ZnNi2Ru structure at the PBE level of DFT.

Cell and atoms, written as CIF:
```
data_ZnNi2Ru
_chemical_formula_sum 'Zn1 Ni2 Ru1'
_cell_length_a 2.586
_cell_length_b 4.236
_cell_length_c 4.511
_cell_angle_alpha 90.00
_cell_angle_beta 90.00
_cell_angle_gamma 90.00
_symmetry_space_group_name_H-M 'P 1'
_symmetry_Int_Tables_number 1
loop_
_symmetry_equiv_pos_as_xyz
'x,y,z'
loop_
_atom_site_label
_atom_site_fract_x
_atom_site_fract_y
_atom_site_fract_z
Zn1 0.000 0.000 0.000
Ni1 0.500 0.000 0.492
Ni2 0.500 0.500 0.151
Ru1 0.000 0.500 0.637
```

Properties
Total magnetization   0.000 μB/atom
Space group   Pmm2 (25)
ΔH_f (0 K)   -0.01 eV per atom

(4)
Computed, not measured: a geometry-optimized ZnNi2Ru structure at the PBE level of DFT.

Cell and atoms, written as CIF:
```
data_ZnNi2Ru
_chemical_formula_sum 'Zn1 Ni2 Ru1'
_cell_length_a 8.460
_cell_length_b 8.460
_cell_length_c 8.460
_cell_angle_alpha 17.87
_cell_angle_beta 17.87
_cell_angle_gamma 17.87
_symmetry_space_group_name_H-M 'P 1'
_symmetry_Int_Tables_number 1
loop_
_symmetry_equiv_pos_as_xyz
'x,y,z'
loop_
_atom_site_label
_atom_site_fract_x
_atom_site_fract_y
_atom_site_fract_z
Zn1 0.000 0.000 0.000
Ni1 0.250 0.250 0.250
Ni2 0.750 0.750 0.750
Ru1 0.500 0.500 0.500
```

Properties
Total magnetization   0.000 μB/atom
Space group   R-3m (166)
ΔH_f (0 K)   0.01 eV per atom

(5)
Computed, not measured: a geometry-optimized Zn3NiRu structure at the PBE level of DFT.

Cell and atoms, written as CIF:
```
data_Zn3NiRu
_chemical_formula_sum 'Zn3 Ni1 Ru1'
_cell_length_a 4.376
_cell_length_b 4.376
_cell_length_c 4.376
_cell_angle_alpha 90.00
_cell_angle_beta 90.00
_cell_angle_gamma 90.00
_symmetry_space_group_name_H-M 'P 1'
_symmetry_Int_Tables_number 1
loop_
_symmetry_equiv_pos_as_xyz
'x,y,z'
loop_
_atom_site_label
_atom_site_fract_x
_atom_site_fract_y
_atom_site_fract_z
Zn1 0.000 0.000 0.500
Zn2 0.000 0.500 0.000
Zn3 0.500 0.000 0.000
Ni1 0.000 0.000 0.000
Ru1 0.500 0.500 0.500
```

Properties
Total magnetization   0.259 μB/atom
Space group   Pm-3m (221)
ΔH_f (0 K)   0.68 eV per atom

(6)
Computed, not measured: a geometry-optimized ZnNi2Ru structure at the PBE level of DFT.

Cell and atoms, written as CIF:
```
data_ZnNi2Ru
_chemical_formula_sum 'Zn1 Ni2 Ru1'
_cell_length_a 2.932
_cell_length_b 2.932
_cell_length_c 5.766
_cell_angle_alpha 90.00
_cell_angle_beta 90.00
_cell_angle_gamma 90.00
_symmetry_space_group_name_H-M 'P 1'
_symmetry_Int_Tables_number 1
loop_
_symmetry_equiv_pos_as_xyz
'x,y,z'
loop_
_atom_site_label
_atom_site_fract_x
_atom_site_fract_y
_atom_site_fract_z
Zn1 0.000 0.000 0.000
Ni1 0.000 0.000 0.473
Ni2 0.500 0.500 0.239
Ru1 0.500 0.500 0.708
```

Properties
Total magnetization   0.000 μB/atom
Space group   P4mm (99)
ΔH_f (0 K)   0.06 eV per atom

| no. | final energy (eV per atom) |
| --- | --- |
| 1 | -5.056 |
| 2 | -6.157 |
| 3 | -5.534 |
| 4 | -5.515 |
| 5 | -3.098 |
| 6 | -5.472 |